A plane-wave DFT calculation with PBE was carried out for Be2CuNiAg after structural relaxation.

abc: 4.013 4.353 4.013
angles: 90.00 90.00 90.00
Fractional coordinates of all 5 atoms:
Ni  0.000  0.500  0.000
Cu  0.000  0.000  0.000
Ag  0.500  0.500  0.500
Be  0.000  0.000  0.500
Be  0.500  0.000  0.000

Summary:
* DFT total energy: -3.346 eV/atom

A plane-wave DFT calculation with PBE was carried out for BeCuNi2Ag after structural relaxation.

abc: 4.339 3.940 4.339
angles: 90.00 90.00 90.00
Fractional coordinates of all 5 atoms:
Ni  0.000  0.000  0.500
Ni  0.500  0.000  0.000
Cu  0.000  0.000  0.000
Ag  0.500  0.500  0.500
Be  0.000  0.500  0.000

Summary:
* DFT total energy: -3.636 eV/atom

| no. | DOS at the Fermi energy (states/eV/f.u.) | E_form (eV/f.u.) |
| --- | --- | --- |
| 1 | 3.21 | 3.45 |
| 2 | 2.19 | 4.05 |